Record 1
! EuDyTlRh | Alexandria | PBE-GGA | relaxed; values from VASP
&SYSTEM
  ibrav = 0, nat = 16, ntyp = 4
/
ATOMIC_SPECIES
Eu 151.96 Eu.upf
Dy 162.50 Dy.upf
Tl 204.38 Tl.upf
Rh 102.91 Rh.upf
CELL_PARAMETERS angstrom
7.336 0.000 0.000
0.000 7.336 0.000
0.000 0.000 7.336
ATOMIC_POSITIONS crystal
Eu 0.000 0.000 0.000
Eu 0.000 0.500 0.500
Eu 0.500 0.000 0.500
Eu 0.500 0.500 0.000
Dy 0.000 0.000 0.500
Dy 0.000 0.500 0.000
Dy 0.500 0.000 0.000
Dy 0.500 0.500 0.500
Tl 0.250 0.250 0.750
Tl 0.250 0.750 0.250
Tl 0.750 0.250 0.250
Tl 0.750 0.750 0.750
Rh 0.250 0.250 0.250
Rh 0.250 0.750 0.750
Rh 0.750 0.250 0.750
Rh 0.750 0.750 0.250
! Symmetry ... F-43m (216)
! Total magnetization ... 27.81 μB per cell

=====

Record 2
! EuDyZnRh | Alexandria | PBE-GGA | relaxed; values from VASP
&SYSTEM
  ibrav = 0, nat = 16, ntyp = 4
/
ATOMIC_SPECIES
Eu 151.96 Eu.upf
Dy 162.50 Dy.upf
Zn 65.41 Zn.upf
Rh 102.91 Rh.upf
CELL_PARAMETERS angstrom
7.084 0.000 0.000
0.000 7.084 0.000
0.000 0.000 7.084
ATOMIC_POSITIONS crystal
Eu 0.000 0.000 0.000
Eu 0.000 0.500 0.500
Eu 0.500 0.000 0.500
Eu 0.500 0.500 0.000
Dy 0.000 0.000 0.500
Dy 0.000 0.500 0.000
Dy 0.500 0.000 0.000
Dy 0.500 0.500 0.500
Zn 0.250 0.250 0.250
Zn 0.250 0.750 0.750
Zn 0.750 0.250 0.750
Zn 0.750 0.750 0.250
Rh 0.250 0.250 0.750
Rh 0.250 0.750 0.250
Rh 0.750 0.250 0.250
Rh 0.750 0.750 0.750
! Symmetry ... F-43m (216)
! Total magnetization ... 27.43 μB per cell

=====

Record 3
! EuDyRu | Alexandria | PBE-GGA | relaxed; values from VASP
&SYSTEM
  ibrav = 0, nat = 6, ntyp = 3
/
ATOMIC_SPECIES
Eu 151.96 Eu.upf
Dy 162.50 Dy.upf
Ru 101.07 Ru.upf
CELL_PARAMETERS angstrom
3.471 0.000 0.000
0.000 3.471 0.000
0.000 0.000 12.991
ATOMIC_POSITIONS crystal
Eu 0.000 0.000 0.000
Eu 0.500 0.500 0.500
Dy 0.000 0.000 0.257
Dy 0.500 0.500 0.757
Ru 0.000 0.000 0.643
Ru 0.500 0.500 0.143
! Symmetry ... I4mm (107)
! Total magnetization ... 14.20 μB per cell

=====

Record 4
! EuDy3Ru | Alexandria | PBE-GGA | relaxed; values from VASP
&SYSTEM
  ibrav = 0, nat = 5, ntyp = 3
/
ATOMIC_SPECIES
Eu 151.96 Eu.upf
Dy 162.50 Dy.upf
Ru 101.07 Ru.upf
CELL_PARAMETERS angstrom
5.449 0.000 0.000
0.000 5.449 0.000
0.000 0.000 5.449
ATOMIC_POSITIONS crystal
Eu 0.000 0.000 0.000
Dy 0.000 0.500 0.500
Dy 0.500 0.000 0.500
Dy 0.500 0.500 0.000
Ru 0.500 0.500 0.500
! Symmetry ... Pm-3m (221)
! Total magnetization ... 7.23 μB per cell

=====

Record 5
! EuDyRu4 | Alexandria | PBE-GGA | relaxed; values from VASP
&SYSTEM
  ibrav = 0, nat = 6, ntyp = 3
/
ATOMIC_SPECIES
Eu 151.96 Eu.upf
Dy 162.50 Dy.upf
Ru 101.07 Ru.upf
CELL_PARAMETERS angstrom
0.000 3.796 3.796
3.796 0.000 3.796
3.796 3.796 0.000
ATOMIC_POSITIONS crystal
Eu 0.000 0.000 0.000
Dy 0.750 0.750 0.750
Ru 0.375 0.375 0.375
Ru 0.375 0.375 0.875
Ru 0.375 0.875 0.375
Ru 0.875 0.375 0.375
! Symmetry ... F-43m (216)
! Total magnetization ... 5.29 μB per cell

=====

Record 6
! EuDyZnRu | Alexandria | PBE-GGA | relaxed; values from VASP
&SYSTEM
  ibrav = 0, nat = 16, ntyp = 4
/
ATOMIC_SPECIES
Eu 151.96 Eu.upf
Dy 162.50 Dy.upf
Zn 65.41 Zn.upf
Ru 101.07 Ru.upf
CELL_PARAMETERS angstrom
7.041 0.000 0.000
0.000 7.041 0.000
0.000 0.000 7.041
ATOMIC_POSITIONS crystal
Eu 0.000 0.000 0.000
Eu 0.000 0.500 0.500
Eu 0.500 0.000 0.500
Eu 0.500 0.500 0.000
Dy 0.000 0.000 0.500
Dy 0.000 0.500 0.000
Dy 0.500 0.000 0.000
Dy 0.500 0.500 0.500
Zn 0.250 0.250 0.250
Zn 0.250 0.750 0.750
Zn 0.750 0.250 0.750
Zn 0.750 0.750 0.250
Ru 0.250 0.250 0.750
Ru 0.250 0.750 0.250
Ru 0.750 0.250 0.250
Ru 0.750 0.750 0.750
! Symmetry ... F-43m (216)
! Total magnetization ... 27.53 μB per cell

=====

Per-record ΔH_f (0 K), eV per atom: -0.366; -0.429; -0.132; -0.150; -0.104; -0.156